GdDyCS: relaxed, PBE.

Lattice parameters (Å, degrees): 3.7288 3.7288 12.9967 90.00 90.00 120.00
Sites, in units of the cell vectors:
C  0.0000  0.0000  0.0010
C  0.0000  0.0000  0.5010
Dy  0.6667  0.3333  0.1049
Dy  0.3333  0.6667  0.6049
Gd  0.6667  0.3333  0.3957
Gd  0.3333  0.6667  0.8957
S  0.3333  0.6667  0.2484
S  0.6667  0.3333  0.7484

GdDyCS: relaxed, PBE.

Lattice parameters (Å, degrees): 3.7285 3.7285 12.9980 90.00 90.00 120.00
Sites, in units of the cell vectors:
C  0.0000  0.0000  0.2526
C  0.0000  0.0000  0.7474
Dy  0.6667  0.3333  0.3558
Dy  0.6667  0.3333  0.6442
Gd  0.3333  0.6667  0.1466
Gd  0.3333  0.6667  0.8534
S  0.6667  0.3333  0.0000
S  0.3333  0.6667  0.5000

Listing calculated total energy for the structures above in their given order: -6.88, -6.88 eV/atom.